[1]
4
Lattice="4.023 0.000 0.000 0.000 4.023 0.000 0.000 0.000 8.062" Properties=species:S:1:pos:R:3 comment="La2BiI PBE relaxed" vol_a3_per_atom=32.62 raw_formation_energy_kj_per_mol_atoms=-92.8 pbc="T T T"
I 2.012 2.012 0.000
Bi 2.012 2.012 4.031
La 0.000 0.000 5.900
La 0.000 0.000 2.162

---

[2]
6
Lattice="-2.904 4.031 -1.471 -5.167 -0.332 0.188 -0.197 4.139 10.613" Properties=species:S:1:pos:R:3 comment="LaBiI PBE relaxed" vol_a3_per_atom=44.16 raw_formation_energy_kj_per_mol_atoms=-85.1 pbc="T T T"
La -8.145 6.461 5.876
La -0.123 1.378 3.453
Bi -5.478 4.597 4.613
Bi -2.790 3.242 4.717
I -5.520 3.203 0.891
I -2.748 4.636 8.438